K3Pm3VO8 | PBE+U | optimized geometry

Size of the total moment (μB per atom): 0.07
Final energy (eV for the cell shown): -204.29
Fermi-level density of states (states/eV/cell): 0.00

CIF file:
```
data_K3Pm3VO8
_chemical_formula_sum 'K6 Pm6 V2 O16'
_space_group_name_H-M_alt 'C 1 2/m 1'
_space_group_IT_number 12
_cell_length_a 11.9830
_cell_length_b 6.9523
_cell_length_c 7.4751
_cell_angle_alpha 90.00
_cell_angle_beta 122.58
_cell_angle_gamma 90.00
loop_
_space_group_symop_operation_xyz
'x,y,z'
'-x,-y,-z'
'-x,y,-z'
'x,-y,z'
'x+1/2,y+1/2,z'
'-x+1/2,-y+1/2,-z'
'-x+1/2,y+1/2,-z'
'x+1/2,-y+1/2,z'
loop_
_atom_site_label
_atom_site_type_symbol
_atom_site_fract_x
_atom_site_fract_y
_atom_site_fract_z
K1 K 0.0000 0.0000 0.0000
K2 K 0.2500 0.2500 0.0000
Pm1 Pm 0.0000 0.5000 0.5000
Pm2 Pm 0.2500 0.2500 0.5000
V1 V 0.0000 0.0000 0.5000
O1 O 0.0163 0.2206 0.3284
O2 O 0.1984 0.0000 0.6675
O3 O 0.2313 0.5000 0.6910
```